Record 1
Material: Rb2LaRu
Method: DFT, PBE
State: relaxed

Output
relative energy among the computed polymorphs: 877 meV per atom

Cell lengths 7.9974, 7.9974, 7.9974 Å; angles 90.00, 90.00, 90.00 degrees
Last column: nearest neighbours and their distance in Å.
Space group Fm-3m (No. 225)
Asymmetric unit:
Rb  0.2500  0.2500  0.2500 (multiplicity 8)  4 La 3.46, 4 Ru 3.46
La  0.0000  0.0000  0.0000 (multiplicity 4)  8 Rb 3.46
Ru  0.0000  0.0000  0.5000 (multiplicity 4)  8 Rb 3.46


Record 2
Material: Rb3LaRu
Method: DFT, PBE
State: relaxed

Output
relative energy among the computed polymorphs: 309 meV per atom

Cell lengths 14.3417, 14.3417, 9.8982 Å; angles 90.00, 90.00, 120.00 degrees
Last column: nearest neighbours and their distance in Å.
Space group R-3c (No. 167, hexagonal axes)
Asymmetric unit:
Rb  0.0000  0.2411  0.2500 (multiplicity 18)  1 Ru 3.46
La  0.0000  0.0000  0.0000 (multiplicity 6)  2 Ru 2.47
Ru  0.0000  0.0000  0.2500 (multiplicity 6)  2 La 2.47


Record 3
Material: Rb3LaRu
Method: DFT, PBE
State: relaxed

Output
relative energy among the computed polymorphs: 266 meV per atom

Cell lengths 10.6813, 10.6813, 18.1504 Å; angles 90.00, 90.00, 120.00 degrees
Last column: nearest neighbours and their distance in Å.
Space group R3c (No. 161, hexagonal axes)
Asymmetric unit:
Rb  0.0575  0.4541  0.0000 (multiplicity 18)  2 Ru 3.71-3.88
La  0.0000  0.0000  0.0589 (multiplicity 6)  1 Ru 2.17
Ru  0.0000  0.0000  0.1784 (multiplicity 6)  1 La 2.17


Record 4
Material: Rb3LaRu
Method: DFT, PBE
State: relaxed

Output
relative energy among the computed polymorphs: 219 meV per atom

Cell lengths 9.1687, 9.8053, 12.1834 Å; angles 90.00, 90.00, 90.00 degrees
Last column: nearest neighbours and their distance in Å.
Space group Imma (No. 74)
Asymmetric unit:
Rb  0.0000  0.2500  0.0018 (multiplicity 4)  10 Rb 4.53-4.90, 2 La 4.58
Rb  0.2500  0.0015  0.7500 (multiplicity 8)  2 Ru 3.81
La  0.0000  0.2500  0.4992 (multiplicity 4)  2 Ru 2.45
Ru  0.0000  0.0000  0.5000 (multiplicity 4)  2 La 2.45


Record 5
Material: Rb2La2Ru
Method: DFT, PBE
State: relaxed

Cell lengths 7.5398, 7.5398, 7.6366 Å; angles 90.00, 90.00, 90.00 degrees
Last column: nearest neighbours and their distance in Å.
Space group P4/mbm (No. 127)
Asymmetric unit:
Rb  0.1950  0.3050  0.0000 (multiplicity 4)  5 Rb 3.86-4.16, 2 La 3.97
La  0.2019  0.7019  0.5000 (multiplicity 4)  2 Ru 2.71
Ru  0.0000  0.0000  0.5000 (multiplicity 2)  4 La 2.71


Record 6
Material: Rb3LaRu
Method: DFT, PBE
State: relaxed

Output
relative energy among the computed polymorphs: 15 meV per atom

Cell lengths 5.2223, 11.5520, 11.5713 Å; angles 63.74, 81.25, 86.87 degrees
Last column: nearest neighbours and their distance in Å.
Space group P-1 (No. 2)
Asymmetric unit:
Rb  0.1495  0.2656  0.3928 (multiplicity 2)  2 Ru 3.59-3.81
Rb  0.2005  0.9399  0.2095 (multiplicity 2)  1 Ru 3.86, 1 La 4.23, 1 Rb 4.29
Rb  0.2378  0.6658  0.0152 (multiplicity 2)  1 Ru 4.11, 2 La 4.31-4.37, 1 Rb 4.61
La  0.3735  0.4060  0.6566 (multiplicity 2)  1 Ru 2.29
Ru  0.1885  0.5686  0.4057 (multiplicity 2)  1 La 2.29


Record 7
Material: Rb3LaRu
Method: DFT, PBE
State: relaxed

Output
relative energy among the computed polymorphs: 0 meV per atom

Cell lengths 5.0371, 7.1329, 16.9397 Å; angles 90.08, 95.45, 95.53 degrees
Last column: nearest neighbours and their distance in Å.
Space group P1 (No. 1)
Asymmetric unit:
Rb  0.0000  0.0000  0.0000 (multiplicity 1)  2 Ru 3.72-3.73
Rb  0.0650  0.5077  0.1907 (multiplicity 1)  11 Rb 4.54-5.04
Rb  0.3103  0.4915  0.4769 (multiplicity 1)  7 Rb 4.50-5.00
Rb  0.4787  0.4977  0.9347 (multiplicity 1)  4 La 4.00-4.46, 4 Ru 4.13-4.15, 2 Rb 4.30-4.31
Rb  0.6232  0.0072  0.3034 (multiplicity 1)  9 Rb 4.54-5.04
Rb  0.8681  0.9894  0.5824 (multiplicity 1)  2 Ru 3.79-3.80, 2 La 4.12-4.14
La  0.4285  0.9925  0.7765 (multiplicity 1)  2 Ru 2.53
La  0.9185  0.4921  0.7502 (multiplicity 1)  2 Ru 2.39
Ru  0.8874  0.1731  0.7934 (multiplicity 1)  2 La 2.39-2.53, 1 Ru 2.65
Ru  0.9803  0.8134  0.7936 (multiplicity 1)  2 La 2.39-2.53, 1 Ru 2.65


Record 8
Material: Rb3LaRu
Method: DFT, PBE
State: relaxed

Output
relative energy among the computed polymorphs: 16 meV per atom

Cell lengths 5.2161, 9.9593, 12.0399 Å; angles 89.72, 84.61, 78.78 degrees
Last column: nearest neighbours and their distance in Å.
Space group P1 (No. 1)
Asymmetric unit:
Rb  0.0000  0.0000  0.0000 (multiplicity 1)  1 Ru 3.92, 1 Rb 4.19, 1 La 4.27
Rb  0.0026  0.4677  0.5487 (multiplicity 1)  2 Ru 3.53-3.68
Rb  0.3465  0.8122  0.6974 (multiplicity 1)  2 Ru 3.54-3.68
Rb  0.3529  0.2820  0.2465 (multiplicity 1)  1 Ru 3.92, 1 Rb 4.18, 1 La 4.27
Rb  0.4788  0.7889  0.3017 (multiplicity 1)  1 Ru 4.24, 2 La 4.38-4.51
Rb  0.8732  0.4917  0.9441 (multiplicity 1)  1 Ru 4.24, 2 La 4.39-4.51, 1 Rb 4.75
La  0.5418  0.2051  0.7512 (multiplicity 1)  1 Ru 2.28
La  0.8100  0.0746  0.4944 (multiplicity 1)  1 Ru 2.28
Ru  0.3675  0.1113  0.5401 (multiplicity 1)  1 La 2.28
Ru  0.9843  0.1685  0.7054 (multiplicity 1)  1 La 2.28


Record 9
Material: Rb3LaRu
Method: DFT, PBE
State: relaxed

Output
relative energy among the computed polymorphs: 113 meV per atom

Cell lengths 8.5598, 8.1853, 15.7275 Å; angles 90.00, 90.00, 90.00 degrees
Last column: nearest neighbours and their distance in Å.
Space group Pnma (No. 62)
Asymmetric unit:
Rb  0.0195  0.2500  0.0147 (multiplicity 4)  1 Ru 4.01, 2 Rb 4.13
Rb  0.2392  0.0089  0.2523 (multiplicity 8)  2 Ru 3.87-3.99, 4 Rb 3.95-4.28
La  0.0000  0.0000  0.5000 (multiplicity 4)  2 Ru 2.43
Ru  0.0284  0.7500  0.5824 (multiplicity 4)  2 La 2.43


Record 10
Material: Rb2LaRu
Method: DFT, PBE
State: relaxed

Output
relative energy among the computed polymorphs: 0 meV per atom

Cell lengths 13.4496, 13.4496, 4.8642 Å; angles 90.00, 90.00, 90.00 degrees
Last column: nearest neighbours and their distance in Å.
Space group I-42d (No. 122)
Asymmetric unit:
Rb  0.1011  0.2500  0.1250 (multiplicity 8)  2 Ru 3.68, 2 La 4.06
La  0.0000  0.0000  0.5000 (multiplicity 4)  2 Ru 2.43
Ru  0.0000  0.0000  0.0000 (multiplicity 4)  2 La 2.43


Record 11
Material: Rb3LaRu
Method: DFT, PBE
State: relaxed

Output
relative energy among the computed polymorphs: 77 meV per atom

Cell lengths 7.2337, 8.2602, 12.0198 Å; angles 91.41, 107.39, 115.80 degrees
Last column: nearest neighbours and their distance in Å.
Space group P1 (No. 1)
Asymmetric unit:
Rb  0.0000  0.0000  0.0000 (multiplicity 1)  2 Ru 3.78-3.79, 2 La 4.10-4.11
Rb  0.0905  0.8073  0.3743 (multiplicity 1)  5 Rb 4.58-4.86, 3 La 4.93-4.98
Rb  0.3083  0.8219  0.7943 (multiplicity 1)  2 Ru 3.67
Rb  0.5374  0.4825  0.5928 (multiplicity 1)  1 La 4.34, 2 Ru 4.41-4.43, 4 Rb 4.49-4.78
Rb  0.7246  0.1829  0.2683 (multiplicity 1)  2 La 4.26-4.70, 2 Rb 4.47-4.58
Rb  0.9050  0.1542  0.6547 (multiplicity 1)  2 Ru 3.59
La  0.3284  0.5582  0.0988 (multiplicity 1)  2 Ru 2.51-2.52
La  0.7034  0.4403  0.9656 (multiplicity 1)  2 Ru 2.35
Ru  0.3608  0.4349  0.9158 (multiplicity 1)  2 La 2.35-2.52
Ru  0.9925  0.4358  0.9164 (multiplicity 1)  2 La 2.35-2.51


Record 12
Material: Rb3LaRu
Method: DFT, PBE
State: relaxed

Output
relative energy among the computed polymorphs: 72 meV per atom

Cell lengths 9.1317, 7.1673, 9.7189 Å; angles 90.00, 109.78, 90.00 degrees
Last column: nearest neighbours and their distance in Å.
Space group Pm (No. 6)
Asymmetric unit:
Rb  0.0000  0.0000  0.0000 (multiplicity 1)  2 Ru 4.19, 1 La 4.24, 4 Rb 4.35-4.57
Rb  0.0279  0.5000  0.2622 (multiplicity 1)  2 Ru 3.68
Rb  0.2696  0.5000  0.7928 (multiplicity 1)  2 Ru 3.75, 1 La 4.10
Rb  0.4117  0.0000  0.5168 (multiplicity 1)  8 Rb 4.54-5.04, 3 La 4.93-4.94
Rb  0.7261  0.5000  0.7489 (multiplicity 1)  2 Ru 3.64
Rb  0.8848  0.0000  0.4604 (multiplicity 1)  1 La 4.05, 2 Ru 4.38, 3 Rb 4.47-4.54
La  0.5372  0.5000  0.2268 (multiplicity 1)  2 Ru 2.51
La  0.5589  0.0000  0.0553 (multiplicity 1)  2 Ru 2.35
Ru  0.6394  0.3128  0.0611 (multiplicity 2)  2 La 2.35-2.51


Number 1: calculated formation energy 1.400 eV per atom, total energy -2.635 eV per atom. Number 2: calculated formation energy 0.471 eV per atom, total energy -2.950 eV per atom. Number 3: calculated formation energy 0.428 eV per atom, total energy -2.993 eV per atom. Number 4: calculated formation energy 0.380 eV per atom, total energy -3.041 eV per atom. Number 5: calculated formation energy 0.240 eV per atom, total energy -3.973 eV per atom. Number 6: calculated formation energy 0.176 eV per atom, total energy -3.245 eV per atom. Number 7: calculated formation energy 0.161 eV per atom, total energy -3.260 eV per atom. Number 8: calculated formation energy 0.177 eV per atom, total energy -3.244 eV per atom. Number 9: calculated formation energy 0.274 eV per atom, total energy -3.147 eV per atom. Number 10: calculated formation energy 0.523 eV per atom, total energy -3.512 eV per atom. Number 11: calculated formation energy 0.239 eV per atom, total energy -3.183 eV per atom. Number 12: calculated formation energy 0.234 eV per atom, total energy -3.187 eV per atom.